Here is Na2Ge2Te after structural relaxation from the Alexandria database. Energies are from PBE.

Summary:
uncorrected formation energy = 0.0663 eV/atom
M_tot = 0.0 μB per cell
energy = -2.937 eV per atom
relative energy among the computed polymorphs = 185.5 meV per atom

POSCAR file:
```
Na2Ge2Te
1.0
4.6015 0.0000 0.0000
0.0000 4.6015 0.0000
0.0000 0.0000 12.3555
Na Ge Te
4 4 2
Direct
0.0000 0.5000 0.2500 Na
0.0000 0.5000 0.7500 Na
0.5000 0.0000 0.2500 Na
0.5000 0.0000 0.7500 Na
0.0000 0.0000 0.0936 Ge
0.0000 0.0000 0.9064 Ge
0.5000 0.5000 0.4064 Ge
0.5000 0.5000 0.5936 Ge
0.0000 0.0000 0.5000 Te
0.5000 0.5000 0.0000 Te
```


Here is Pr2Tl3GeTe6 after structural relaxation from the Alexandria database. Energies are from PBE.

Summary:
uncorrected formation energy = -0.7283 eV/atom
M_tot = 0.0 μB per cell
energy = -4.072 eV per atom

POSCAR file:
```
Pr2Tl3GeTe6
1.0
10.3266 -2.2621 0.0000
10.3266 2.2621 0.0000
-2.6876 0.0000 9.0802
Pr Tl Ge Te
2 3 1 6
Direct
0.1638 0.1638 0.3340 Pr
0.8362 0.8362 0.6660 Pr
0.1695 0.1695 0.8431 Tl
0.5000 0.5000 0.5000 Tl
0.8305 0.8305 0.1569 Tl
0.5000 0.5000 0.0000 Ge
0.0029 0.0029 0.2215 Te
0.3267 0.3267 0.4234 Te
0.3461 0.3461 0.9056 Te
0.6539 0.6539 0.0944 Te
0.6733 0.6733 0.5766 Te
0.9971 0.9971 0.7785 Te
```


Here is Mg2AlCu2Pd5 after structural relaxation from the Alexandria database. Energies are from PBE.

Summary:
energy of formation = -43 kJ per mole of atoms
M_tot = 0.0 μB per cell
energy = -4.558 eV per atom

POSCAR file:
```
Mg2AlCu2Pd5
1.0
9.1983 0.0000 0.0000
0.0000 9.1983 0.0000
0.0000 0.0000 3.7407
Mg Al Cu Pd
4 2 4 10
Direct
0.1683 0.3317 0.0000 Mg
0.3317 0.8317 0.0000 Mg
0.6683 0.1683 0.0000 Mg
0.8317 0.6683 0.0000 Mg
0.0000 0.0000 0.0000 Al
0.5000 0.5000 0.0000 Al
0.1284 0.6284 0.0000 Cu
0.3716 0.1284 0.0000 Cu
0.6284 0.8716 0.0000 Cu
0.8716 0.3716 0.0000 Cu
0.0000 0.5000 0.5000 Pd
0.0776 0.8059 0.5000 Pd
0.1941 0.0776 0.5000 Pd
0.3059 0.5776 0.5000 Pd
0.4224 0.3059 0.5000 Pd
0.5000 0.0000 0.5000 Pd
0.5776 0.6941 0.5000 Pd
0.6941 0.4224 0.5000 Pd
0.8059 0.9224 0.5000 Pd
0.9224 0.1941 0.5000 Pd
```


Here is Mg2Ga4Cu5 after structural relaxation from the Alexandria database. Energies are from PBE.

Summary:
energy of formation = -9 kJ per mole of atoms
M_tot = 0.0 μB per cell
energy = -3.347 eV per atom

POSCAR file:
```
Mg2Ga4Cu5
1.0
0.0000 4.4395 8.0292
2.5345 0.0000 8.0292
2.5345 4.4395 0.0000
Mg Ga Cu
2 4 5
Direct
0.1788 0.1788 0.8212 Mg
0.8212 0.8212 0.1788 Mg
0.2162 0.5280 0.4720 Ga
0.4720 0.7838 0.2162 Ga
0.5280 0.2162 0.7838 Ga
0.7838 0.4720 0.5280 Ga
0.0000 0.0000 0.5000 Cu
0.2500 0.2500 0.2500 Cu
0.5000 0.5000 0.0000 Cu
0.5000 0.5000 0.5000 Cu
0.7500 0.7500 0.7500 Cu
```